# 1
Entry from Alexandria: a geometry-optimized AcTl2P2Pt7 structure (GGA-PBE).

Cell lengths 4.078, 4.078, 15.438 Å; angles 82.62, 82.62, 89.91 degrees
Element x y z (fractional)
Ac 0.000 0.000 0.000
Tl 0.796 0.796 0.419
Tl 0.204 0.204 0.581
P 0.615 0.615 0.760
P 0.385 0.385 0.240
Pt 0.500 0.500 0.000
Pt 0.311 0.311 0.388
Pt 0.689 0.689 0.612
Pt 0.923 0.422 0.161
Pt 0.422 0.923 0.161
Pt 0.578 0.077 0.839
Pt 0.077 0.578 0.839

Computed properties:
Energy of formation from the pure elements, eV/atom: -0.43
DFT total energy, eV per atom: -5.590

# 2
Entry from Alexandria: a geometry-optimized Zn2PbW structure (GGA-PBE).

Cell lengths 2.910, 2.910, 9.198 Å; angles 90.00, 90.00, 91.57 degrees
Element x y z (fractional)
Pb 0.000 0.000 0.524
W 0.500 0.500 0.789
Zn 0.000 0.000 0.993
Zn 0.500 0.500 0.193

Computed properties:
Energy of formation from the pure elements, eV/atom: 0.55
DFT total energy, eV per atom: -4.252

# 3
Entry from Alexandria: a geometry-optimized Ag5F6 structure (GGA-PBE).

Cell lengths 6.253, 5.848, 6.401 Å; angles 77.27, 65.65, 57.68 degrees
Element x y z (fractional)
Ag 0.500 0.000 0.500
Ag 0.317 0.366 0.000
Ag 0.683 0.634 0.000
Ag 0.150 0.701 0.500
Ag 0.850 0.299 0.500
F 0.711 0.000 0.773
F 0.289 0.000 0.227
F 0.427 0.662 0.732
F 0.911 0.662 0.268
F 0.573 0.338 0.268
F 0.089 0.338 0.732

Computed properties:
Raw formation energy, eV/atom: -1.014
DFT total energy, eV per atom: -3.331

# 4
Entry from Alexandria: a geometry-optimized NdPaHg2 structure (GGA-PBE).

Cell lengths 3.359, 3.359, 9.133 Å; angles 90.00, 90.00, 90.00 degrees
Each line ends with the local moment (μB).
Element x y z (fractional)
Pa 0.500 0.500 0.500  0.83
Nd 0.500 0.500 0.000  0.04
Hg 0.000 0.000 0.746  0.00
Hg 0.000 0.000 0.254  0.00

Computed properties:
Energy of formation from the pure elements, eV/atom: -0.14
DFT total energy, eV per atom: -3.858

# 5
Entry from Alexandria: a geometry-optimized DyPaZn structure (GGA-PBE).

Cell lengths 3.196, 5.079, 5.079 Å; angles 120.00, 90.00, 90.00 degrees
Each line ends with the local moment (μB).
Element x y z (fractional)
Zn 0.966 0.000 0.000  0.00
Pa 0.293 0.333 0.667  0.47
Dy 0.741 0.667 0.333  0.05

Computed properties:
Energy of formation from the pure elements, eV/atom: 0.22
DFT total energy, eV per atom: -4.903

# 6
Entry from Alexandria: a geometry-optimized SiNi3Bi structure (GGA-PBE).

Cell lengths 4.332, 4.332, 4.332 Å; angles 90.00, 90.00, 90.00 degrees
Element x y z (fractional)
Ni 0.000 0.500 0.000
Ni 0.000 0.000 0.500
Ni 0.500 0.000 0.000
Si 0.000 0.000 0.000
Bi 0.500 0.500 0.500

Computed properties:
Raw formation energy, eV/atom: 0.122
DFT total energy, eV per atom: -5.208

# 7
Entry from Alexandria: a geometry-optimized HfGa4Co structure (GGA-PBE).

Cell lengths 4.109, 4.109, 6.385 Å; angles 90.00, 90.00, 90.00 degrees
Element x y z (fractional)
Hf 0.000 0.000 0.000
Ga 0.500 0.000 0.707
Ga 0.000 0.500 0.707
Ga 0.500 0.000 0.293
Ga 0.000 0.500 0.293
Co 0.000 0.000 0.500

Computed properties:
Energy of formation from the pure elements, eV/atom: -0.24
DFT total energy, eV per atom: -5.105

# 8
Entry from Alexandria: a geometry-optimized Pm9Ho11Er4 structure (GGA-PBE).

Cell lengths 3.693, 15.201, 15.201 Å; angles 113.23, 90.00, 90.00 degrees
Element x y z (fractional)
Pm 0.500 0.630 0.163
Pm 0.500 0.370 0.837
Pm 0.500 0.163 0.630
Pm 0.500 0.837 0.370
Pm 0.500 0.786 0.933
Pm 0.500 0.214 0.067
Pm 0.500 0.933 0.786
Pm 0.500 0.067 0.214
Pm 0.500 0.500 0.500
Ho 0.000 0.594 0.955
Ho 0.000 0.406 0.045
Ho 0.000 0.955 0.594
Ho 0.000 0.045 0.406
Ho 0.000 0.632 0.368
Ho 0.000 0.368 0.632
Ho 0.000 0.839 0.161
Ho 0.000 0.161 0.839
Ho 0.000 0.000 0.000
Ho 0.000 0.709 0.709
Ho 0.000 0.291 0.291
Er 0.500 0.555 0.756
Er 0.500 0.445 0.244
Er 0.500 0.756 0.555
Er 0.500 0.244 0.445

Computed properties:
Energy of formation from the pure elements, eV/atom: 0.05
DFT total energy, eV per atom: -4.590

# 9
Entry from Alexandria: a geometry-optimized SnH3Pd structure (GGA-PBE).

Cell lengths 3.766, 3.766, 3.766 Å; angles 90.00, 90.00, 90.00 degrees
Element x y z (fractional)
H 0.000 0.500 0.000
H 0.000 0.000 0.500
H 0.500 0.000 0.000
Sn 0.500 0.500 0.500
Pd 0.000 0.000 0.000

Computed properties:
DFT total energy, eV per atom: -3.685

# 10
Entry from Alexandria: a geometry-optimized NdErMg17 structure (GGA-PBE).

Cell lengths 7.792, 7.792, 7.792 Å; angles 82.13, 82.13, 82.13 degrees
Element x y z (fractional)
Nd 0.670 0.670 0.670
Er 0.328 0.328 0.328
Mg 0.302 0.002 0.696
Mg 0.696 0.302 0.002
Mg 0.002 0.696 0.302
Mg 0.302 0.696 0.002
Mg 0.002 0.302 0.696
Mg 0.696 0.002 0.302
Mg 0.352 0.844 0.352
Mg 0.352 0.352 0.844
Mg 0.844 0.352 0.352
Mg 0.645 0.164 0.645
Mg 0.645 0.645 0.164
Mg 0.164 0.645 0.645
Mg 0.997 0.503 0.997
Mg 0.997 0.997 0.503
Mg 0.503 0.997 0.997
Mg 0.902 0.902 0.902
Mg 0.101 0.101 0.101

Computed properties:
Energy of formation from the pure elements, eV/atom: -0.03
DFT total energy, eV per atom: -1.945

# 11
Entry from Alexandria: a geometry-optimized TaCr2Si structure (GGA-PBE).

Cell lengths 4.113, 2.660, 5.063 Å; angles 78.78, 90.00, 90.00 degrees
Element x y z (fractional)
Cr 0.000 0.956 0.027
Cr 0.000 0.544 0.473
Si 0.500 0.250 0.250
Ta 0.500 0.750 0.750

Computed properties:
Raw formation energy, eV/atom: -0.003
DFT total energy, eV per atom: -9.134

# 12
Entry from Alexandria: a geometry-optimized NbZnCo3 structure (GGA-PBE).

Cell lengths 4.196, 4.196, 4.196 Å; angles 90.00, 90.00, 90.00 degrees
Element x y z (fractional)
Nb 0.500 0.500 0.500
Co 0.000 0.500 0.000
Co 0.000 0.000 0.500
Co 0.500 0.000 0.000
Zn 0.000 0.000 0.000

Computed properties:
Energy of formation from the pure elements, eV/atom: 1.06
DFT total energy, eV per atom: -5.476

# 13
Entry from Alexandria: a geometry-optimized GaCo2Tc structure (GGA-PBE).

Cell lengths 2.657, 2.657, 6.902 Å; angles 90.00, 90.00, 90.00 degrees
Element x y z (fractional)
Co 0.000 0.000 0.756
Co 0.000 0.000 0.244
Tc 0.500 0.500 0.500
Ga 0.500 0.500 0.000

Computed properties:
Energy of formation from the pure elements, eV/atom: -0.12
DFT total energy, eV per atom: -7.026

# 14
Entry from Alexandria: a geometry-optimized SrEuMgPd structure (GGA-PBE).

Cell lengths 5.461, 5.461, 5.461 Å; angles 60.00, 60.00, 60.00 degrees
Each line ends with the local moment (μB).
Element x y z (fractional)
Eu 0.250 0.250 0.250  6.88
Sr 0.750 0.750 0.750  0.02
Mg 0.500 0.500 0.500  0.01
Pd 0.000 0.000 0.000  -0.03

Computed properties:
Energy of formation from the pure elements, eV/atom: -0.25
DFT total energy, eV per atom: -4.933

# 15
Entry from Alexandria: a geometry-optimized Pa2ReN6 structure (GGA-PBE).

Cell lengths 3.987, 5.498, 5.498 Å; angles 120.00, 90.00, 90.00 degrees
Element x y z (fractional)
Pa 0.239 0.667 0.333
Pa 0.761 0.333 0.667
Re 0.500 0.000 0.000
N 0.246 0.653 0.735
N 0.246 0.082 0.347
N 0.246 0.265 0.918
N 0.754 0.347 0.265
N 0.754 0.918 0.653
N 0.754 0.735 0.082

Computed properties:
Raw formation energy, eV/atom: -0.620
DFT total energy, eV per atom: -9.664

# 16
Entry from Alexandria: a geometry-optimized Na2MgCuAs2 structure (GGA-PBE).

Cell lengths 5.833, 5.980, 8.363 Å; angles 110.95, 110.41, 90.00 degrees
Element x y z (fractional)
Na 0.431 0.180 0.359
Na 0.569 0.820 0.641
Na 0.072 0.320 0.641
Na 0.928 0.680 0.359
Mg 0.000 0.750 0.000
Mg 0.000 0.250 0.000
Cu 0.500 0.750 0.000
Cu 0.500 0.250 0.000
As 0.838 0.108 0.216
As 0.379 0.608 0.216
As 0.621 0.392 0.784
As 0.162 0.892 0.784

Computed properties:
Energy of formation from the pure elements, eV/atom: -0.41
DFT total energy, eV per atom: -3.350

# 17
Entry from Alexandria: a geometry-optimized TlIn2Rh structure (GGA-PBE).

Cell lengths 3.457, 3.457, 9.356 Å; angles 80.13, 80.13, 57.83 degrees
Element x y z (fractional)
Tl 0.500 0.500 0.000
In 0.265 0.265 0.705
In 0.735 0.735 0.295
Rh 0.000 0.000 0.500

Computed properties:
Energy of formation from the pure elements, eV/atom: -0.06
DFT total energy, eV per atom: -3.860

# 18
Entry from Alexandria: a geometry-optimized KMo2As2 structure (GGA-PBE).

Cell lengths 3.808, 3.808, 8.277 Å; angles 76.70, 76.70, 90.00 degrees
Element x y z (fractional)
K 0.000 0.000 0.000
Mo 0.750 0.250 0.500
Mo 0.250 0.750 0.500
As 0.365 0.365 0.270
As 0.635 0.635 0.730

Computed properties:
Energy of formation from the pure elements, eV/atom: -0.30
DFT total energy, eV per atom: -6.709